[1]
Here is an optimized crystal structure of IrSe2F from Alexandria. Energies are from PBE.

The structure in extended XYZ format:
```
8
Lattice="6.6017 -1.8063 0.0000 6.6017 1.8063 0.0000 -0.6859 0.0000 5.7291" Properties=species:S:1:pos:R:3 pbc="T T T"
Ir 3.0731 0.0000 1.7331
Ir 9.4443 0.0000 3.9959
Se 1.4244 0.0000 5.0602
Se 4.6094 0.0000 3.6148
Se 7.9080 0.0000 2.1143
Se 11.0930 0.0000 0.6688
F -0.3430 0.0000 2.8645
F 6.6017 0.0000 0.0000
```

- Magnetization: 0.000 μB/cell
- SG: C2/m, No. 12
- E: -5.033 eV per atom


[2]
Here is an optimized crystal structure of TbYAl6 from Alexandria. Energies are from PBE.

The structure in extended XYZ format:
```
8
Lattice="4.6612 0.0000 0.0000 0.0000 3.1342 5.4176 0.0000 -3.1342 5.4176" Properties=species:S:1:pos:R:3 pbc="T T T"
Tb 0.0000 0.0000 0.0000
Y 2.3306 0.0000 7.2316
Al 0.0000 -1.3745 2.8216
Al 0.0000 1.3745 2.8216
Al 0.0000 0.0000 5.2043
Al 2.3306 0.0000 2.0280
Al 2.3306 -1.3735 4.4094
Al 2.3306 1.3735 4.4094
```

- Energy above the most stable polymorph in this dataset: 0 meV per atom
- Magnetization: 0.000 μB/cell
- Calculated formation energy: -42.4 kJ per mole of atoms
- SG: Amm2, No. 38


[3]
Here is an optimized crystal structure of SmAlAu3 from Alexandria. Energies are from PBE.

The structure in extended XYZ format:
```
10
Lattice="6.6211 0.0000 0.0000 0.0000 6.6211 0.0000 0.0000 0.0000 5.2025" Properties=species:S:1:pos:R:3 pbc="T T T"
Sm 0.0000 3.3105 0.0000
Sm 3.3105 0.0000 0.0000
Al 0.0000 0.0000 2.6013
Al 3.3105 3.3105 2.6013
Au 0.0000 0.0000 0.0000
Au 1.0408 2.2697 2.6013
Au 2.2697 5.5803 2.6013
Au 3.3105 3.3105 0.0000
Au 4.3514 1.0408 2.6013
Au 5.5803 4.3514 2.6013
```

- Energy above the most stable polymorph in this dataset: 176 meV per atom
- Magnetization: 0.000 μB/cell
- Calculated formation energy: -42.7 kJ per mole of atoms
- SG: P4/mbm, No. 127


[4]
Here is an optimized crystal structure of KHgO from Alexandria. Energies are from PBE.

The structure in extended XYZ format:
```
6
Lattice="3.7121 0.0000 0.0000 0.0000 5.2943 0.0000 -1.8541 0.0000 6.8616" Properties=species:S:1:pos:R:3 pbc="T T T"
K 0.0008 1.3236 2.5624
K 1.8572 3.9707 4.2992
Hg -0.0009 1.3236 6.0393
Hg 1.8589 3.9707 0.8222
O 0.0021 3.9707 2.2244
O 1.8559 1.3236 4.6372
```

- Energy above the most stable polymorph in this dataset: 86 meV per atom
- Magnetization: 0.000 μB/cell
- SG: P2_1/m, No. 11


[5]
Here is an optimized crystal structure of TaFeBr2 from Alexandria. Energies are from PBE.

The structure in extended XYZ format:
```
4
Lattice="0.0000 3.3903 3.3903 3.3903 0.0000 3.3903 3.3903 3.3903 0.0000" Properties=species:S:1:pos:R:3 pbc="T T T"
Ta 0.0000 0.0000 0.0000
Fe 5.0854 5.0854 5.0854
Br 1.6951 1.6951 1.6951
Br 3.3903 3.3903 3.3903
```

- Energy above the most stable polymorph in this dataset: 992 meV per atom
- Magnetization: 0.984 μB/cell
- SG: F-43m, No. 216


[6]
Here is an optimized crystal structure of La2ThCo from Alexandria. Energies are from PBE.

The structure in extended XYZ format:
```
16
Lattice="7.0764 0.0000 0.0000 0.0000 10.1254 0.0000 0.0000 0.0000 6.4955" Properties=species:S:1:pos:R:3 pbc="T T T"
La 1.1686 0.7123 1.1451
La 1.1686 4.3504 1.1451
La 2.3696 5.7750 4.3928
La 2.3696 9.4130 4.3928
La 4.7068 0.7123 2.1027
La 4.7068 4.3504 2.1027
La 5.9078 5.7750 5.3505
La 5.9078 9.4130 5.3505
Th 0.3898 2.5313 4.4120
Th 3.1484 7.5940 1.1642
Th 3.9280 2.5313 5.3313
Th 6.6866 7.5940 2.0836
Co 0.9721 7.5940 6.3644
Co 2.5661 2.5313 3.1167
Co 4.5103 7.5940 3.3789
Co 6.1043 2.5313 0.1311
```

- Energy above the most stable polymorph in this dataset: 0 meV per atom
- Magnetization: 0.000 μB/cell
- Calculated formation energy: -13.3 kJ per mole of atoms
- SG: Pnma, No. 62


[7]
Here is an optimized crystal structure of Pr4Cd3Sn from Alexandria. Energies are from PBE.

The structure in extended XYZ format:
```
8
Lattice="2.7458 1.5853 9.0188 -2.7458 1.5853 9.0188 0.0000 -3.1706 9.0188" Properties=species:S:1:pos:R:3 pbc="T T T"
Pr 0.0000 0.0000 3.3444
Pr 0.0000 0.0000 10.1140
Pr 0.0000 0.0000 16.9424
Pr 0.0000 0.0000 23.7120
Cd 0.0000 0.0000 6.6297
Cd 0.0000 0.0000 13.5282
Cd 0.0000 0.0000 20.4267
Sn 0.0000 0.0000 0.0000
```

- Magnetization: 0.003 μB/cell
- Calculated formation energy: -41.5 kJ per mole of atoms
- SG: R-3m, No. 166


[8]
Here is an optimized crystal structure of AcDyY3Er from Alexandria. Energies are from PBE.

The structure in extended XYZ format:
```
12
Lattice="11.5264 -2.7029 0.0000 11.5264 2.7029 0.0000 -1.0068 0.0000 6.9437" Properties=species:S:1:pos:R:3 pbc="T T T"
Ac 2.4452 0.0000 3.3472
Ac 19.6009 0.0000 3.5966
Dy 8.9076 0.0000 6.1488
Dy 13.1385 0.0000 0.7949
Y -0.2727 0.0000 5.4390
Y 5.6394 0.0000 4.7961
Y 7.1660 0.0000 1.4931
Y 14.8800 0.0000 5.4506
Y 16.4066 0.0000 2.1476
Y 22.3187 0.0000 1.5047
Er 3.8340 0.0000 0.1715
Er 18.2121 0.0000 6.7723
```

- Magnetization: 0.000 μB/cell
- Calculated formation energy: 21.5 kJ per mole of atoms
- SG: C2/m, No. 12


[9]
Here is an optimized crystal structure of LaPmSm2Hg4 from Alexandria. Energies are from PBE.

The structure in extended XYZ format:
```
8
Lattice="2.7066 1.5627 8.8529 -2.7066 1.5627 8.8529 0.0000 -3.1253 8.8529" Properties=species:S:1:pos:R:3 pbc="T T T"
La 0.0000 0.0000 0.0000
Pm 0.0000 0.0000 13.2793
Sm 0.0000 0.0000 6.6278
Sm 0.0000 0.0000 19.9308
Hg 0.0000 0.0000 3.3569
Hg 0.0000 0.0000 10.0061
Hg 0.0000 0.0000 16.5525
Hg 0.0000 0.0000 23.2017
```

- Magnetization: 1.603 μB/cell
- Calculated formation energy: -46.0 kJ per mole of atoms
- SG: R-3m, No. 166


[10]
Here is an optimized crystal structure of Pm3Pr2Nd6In from Alexandria. Energies are from PBE.

The structure in extended XYZ format:
```
12
Lattice="3.1379 -5.4489 0.0000 3.1379 5.4489 0.0000 -2.1261 0.0000 11.8689" Properties=species:S:1:pos:R:3 pbc="T T T"
Pm 0.0000 0.0000 0.0000
Pm 3.1379 1.8376 0.0000
Pm 3.1379 -1.8376 0.0000
Pr 2.0748 3.6355 5.9345
Pr 2.0748 -3.6355 5.9345
Nd 1.0675 1.7684 2.9957
Nd 0.0291 0.0000 8.8904
Nd 1.0675 -1.7684 2.9957
Nd 3.0822 1.7684 8.8733
Nd 4.1205 0.0000 2.9786
Nd 3.0822 -1.7684 8.8733
In 2.0748 0.0000 5.9345
```

- Magnetization: 0.000 μB/cell
- Calculated formation energy: -5.1 kJ per mole of atoms
- SG: C2/m, No. 12


[11]
Here is an optimized crystal structure of Th4PtSe2S from Alexandria. Energies are from PBE.

The structure in extended XYZ format:
```
8
Lattice="7.2586 0.0000 0.0000 0.0000 4.1209 0.0000 -2.4069 0.0000 6.9848" Properties=species:S:1:pos:R:3 pbc="T T T"
Th 1.1761 0.0000 1.6493
Th 0.0196 2.0604 5.3575
Th 4.8321 2.0604 1.6273
Th 3.6756 0.0000 5.3354
Pt 3.6293 0.0000 0.0000
Se -1.2034 0.0000 3.4924
Se 2.4259 2.0604 3.4924
S 0.0000 2.0604 0.0000
```

- Magnetization: 0.000 μB/cell
- SG: P2/m, No. 10
- E: -7.382 eV per atom


[12]
Here is an optimized crystal structure of Pr2NpTl2S6 from Alexandria. Energies are from PBE.

The structure in extended XYZ format:
```
11
Lattice="3.6026 -6.2057 0.0000 3.6026 6.2057 0.0000 -2.4405 0.0000 7.5048" Properties=species:S:1:pos:R:3 pbc="T T T"
Pr 3.6026 4.1418 0.0000
Pr 3.6026 -4.1418 0.0000
Np 3.6026 0.0000 0.0000
Tl 2.3823 2.0967 3.7524
Tl 2.3823 -2.0967 3.7524
S 0.0312 1.9806 6.0271
S 1.3571 0.0000 1.4982
S 0.0312 -1.9806 6.0271
S 4.7334 1.9806 1.4776
S 3.4075 0.0000 6.0065
S 4.7334 -1.9806 1.4776
```

- Magnetization: 3.000 μB/cell
- SG: C2/m, No. 12
- E: -6.113 eV per atom


[13]
Here is an optimized crystal structure of TiFe4Bi from Alexandria. Energies are from PBE.

The structure in extended XYZ format:
```
6
Lattice="0.0000 3.5027 3.5027 3.5027 0.0000 3.5027 3.5027 3.5027 0.0000" Properties=species:S:1:pos:R:3 pbc="T T T"
Ti 0.0000 0.0000 0.0000
Fe 2.6187 2.6187 2.6187
Fe 4.3867 4.3867 2.6187
Fe 4.3867 2.6187 4.3867
Fe 2.6187 4.3867 4.3867
Bi 5.2541 5.2541 5.2541
```

- Magnetization: 7.803 μB/cell
- Calculated formation energy: 5.1 kJ per mole of atoms
- SG: F-43m, No. 216


[14]
Here is an optimized crystal structure of Pr2Al2GaPt5 from Alexandria. Energies are from PBE.

The structure in extended XYZ format:
```
20
Lattice="11.0810 0.0000 0.0000 0.0000 11.0810 0.0000 0.0000 0.0000 2.9758" Properties=species:S:1:pos:R:3 pbc="T T T"
Pr 1.9340 3.6065 0.0000
Pr 3.6065 9.1470 0.0000
Pr 7.4746 1.9340 0.0000
Pr 9.1470 7.4746 0.0000
Al 1.4618 7.0023 0.0000
Al 4.0787 1.4618 0.0000
Al 7.0023 9.6192 0.0000
Al 9.6192 4.0787 0.0000
Ga 0.0000 0.0000 0.0000
Ga 5.5405 5.5405 0.0000
Pt 0.0000 5.5405 1.4879
Pt 0.6772 8.9678 1.4879
Pt 2.1132 0.6772 1.4879
Pt 3.4273 6.2177 1.4879
Pt 4.8633 3.4273 1.4879
Pt 5.5405 0.0000 1.4879
Pt 6.2177 7.6537 1.4879
Pt 7.6537 4.8633 1.4879
Pt 8.9678 10.4038 1.4879
Pt 10.4038 2.1132 1.4879
```

- Magnetization: 0.000 μB/cell
- Calculated formation energy: -85.1 kJ per mole of atoms
- SG: P4/mbm, No. 127


[15]
Here is an optimized crystal structure of PrEuMgCd from Alexandria. Energies are from PBE.

The structure in extended XYZ format:
```
4
Lattice="0.0000 3.9264 3.9264 3.9264 0.0000 3.9264 3.9264 3.9264 0.0000" Properties=species:S:1:pos:R:3 pbc="T T T"
Pr 0.0000 0.0000 0.0000
Eu 3.9264 3.9264 3.9264
Mg 1.9632 1.9632 1.9632
Cd 5.8896 5.8896 5.8896
```

- Magnetization: 7.221 μB/cell
- Calculated formation energy: -19.4 kJ per mole of atoms
- SG: F-43m, No. 216


[16]
Here is an optimized crystal structure of Ti2VGa from Alexandria. Energies are from PBE.

The structure in extended XYZ format:
```
8
Lattice="4.3772 0.0000 0.0000 0.0000 3.1459 0.0000 0.0000 0.0000 9.0578" Properties=species:S:1:pos:R:3 pbc="T T T"
Ti 1.0943 0.0000 0.9663
Ti 1.0943 1.5730 3.3497
Ti 3.2829 0.0000 8.0915
Ti 3.2829 1.5730 5.7081
V 1.0943 0.0000 5.4128
V 3.2829 0.0000 3.6450
Ga 1.0943 1.5730 7.5854
Ga 3.2829 1.5730 1.4724
```

- Magnetization: 0.000 μB/cell
- Calculated formation energy: -20.4 kJ per mole of atoms
- SG: Pmma, No. 51


[17]
Here is an optimized crystal structure of Cd2GaAsO6 from Alexandria. Energies are from PBE.

The structure in extended XYZ format:
```
10
Lattice="5.0626 0.0000 0.0000 0.0000 5.0626 0.0000 0.0000 0.0000 4.9232" Properties=species:S:1:pos:R:3 pbc="T T T"
Cd 0.0000 2.5313 0.0000
Cd 2.5313 0.0000 0.0000
Ga 0.0000 0.0000 2.6385
As 2.5313 2.5313 2.7981
O 0.0000 0.0000 0.8047
O 1.3037 1.3037 3.3649
O 1.3037 3.7589 3.3649
O 2.5313 2.5313 1.0531
O 3.7589 1.3037 3.3649
O 3.7589 3.7589 3.3649
```

- Magnetization: 0.000 μB/cell
- SG: P4mm, No. 99
- E: -5.086 eV per atom


[18]
Here is an optimized crystal structure of Ti5Co6Cu from Alexandria. Energies are from PBE.

The structure in extended XYZ format:
```
12
Lattice="-2.0651 2.9970 6.1876 2.0651 -2.9970 6.1876 2.0651 2.9970 -6.1876" Properties=species:S:1:pos:R:3 pbc="T T T"
Ti 0.0000 0.0000 0.0000
Ti 2.0651 0.0000 2.1218
Ti 0.0000 0.0000 4.3025
Ti 0.0000 0.0000 8.0727
Ti 0.0000 2.9970 4.0658
Co 2.0651 -1.5576 4.0713
Co 2.0651 1.3764 0.0000
Co 0.0000 1.4394 2.1164
Co 2.0651 1.5576 4.0713
Co 0.0000 1.6206 6.1876
Co 0.0000 4.5546 2.1164
Cu 0.0000 2.9970 0.0000
```

- Magnetization: 2.045 μB/cell
- Calculated formation energy: -33.6 kJ per mole of atoms
- SG: Immm, No. 71


[19]
Here is an optimized crystal structure of CoBiSeBr2 from Alexandria. Energies are from PBE.

The structure in extended XYZ format:
```
5
Lattice="4.8327 0.0000 0.0000 0.0000 4.8327 0.0000 0.0000 0.0000 4.9759" Properties=species:S:1:pos:R:3 pbc="T T T"
Co 0.0000 0.0000 0.0000
Bi 2.4164 2.4164 2.4879
Se 0.0000 0.0000 2.4879
Br 0.0000 2.4164 0.0000
Br 2.4164 0.0000 0.0000
```

- Energy above the most stable polymorph in this dataset: 0 meV per atom
- Magnetization: 1.088 μB/cell
- SG: P4/mmm, No. 123


[20]
Here is an optimized crystal structure of KMgCr2 from Alexandria. Energies are from PBE.

The structure in extended XYZ format:
```
4
Lattice="4.1701 -1.5137 0.0000 4.1701 1.5137 0.0000 -0.6351 0.0000 8.2236" Properties=species:S:1:pos:R:3 pbc="T T T"
K 0.0000 0.0000 0.0000
Mg 1.4976 0.0000 5.1793
Cr 3.8364 0.0000 3.3948
Cr 6.1618 0.0000 2.7263
```

- Magnetization: 0.092 μB/cell
- Calculated formation energy: 68.4 kJ per mole of atoms
- SG: Cm, No. 8